[1]
K2CuHg PBE relaxed; energy of formation from the pure elements = 0.20 eV per atom; space group = R-3m, No. 166
1.0
2.300 1.328 9.023
-2.300 1.328 9.023
0.000 -2.655 9.023
K Cu Hg
2 1 1
direct
0.241 0.241 0.241 K
0.759 0.759 0.759 K
0.500 0.500 0.500 Cu
0.000 0.000 0.000 Hg



[2]
Tb2MgTl3 PBE relaxed; energy relative to the lowest polymorph listed for this composition = 0.11 eV per formula unit; energy of formation from the pure elements = -0.23 eV per atom; space group = Fmmm, No. 69
1.0
0.000 5.078 8.809
3.532 0.000 8.809
3.532 5.078 0.000
Tb Mg Tl
4 2 6
direct
0.244 0.756 0.756 Tb
0.250 0.250 0.250 Tb
0.750 0.750 0.750 Tb
0.756 0.244 0.244 Tb
0.333 0.333 0.667 Mg
0.667 0.667 0.333 Mg
0.171 0.171 0.829 Tl
0.172 0.657 0.343 Tl
0.343 0.828 0.172 Tl
0.657 0.172 0.828 Tl
0.828 0.343 0.657 Tl
0.829 0.829 0.171 Tl



[3]
Li3PbO PBE relaxed; energy relative to the lowest polymorph listed for this composition = 7.33 eV per formula unit; uncorrected formation energy = 0.557 eV per atom; space group = Pm-3m, No. 221
1.0
5.234 0.000 0.000
0.000 5.234 0.000
0.000 0.000 5.234
Li Pb O
3 1 1
direct
0.000 0.000 0.500 Li
0.000 0.500 0.000 Li
0.500 0.000 0.000 Li
0.000 0.000 0.000 Pb
0.500 0.500 0.500 O



[4]
CdSnHg2Mo PBE relaxed; energy of formation from the pure elements = 0.68 eV per atom; space group = P4/mmm, No. 123
1.0
5.426 0.000 0.000
0.000 5.426 0.000
0.000 0.000 5.254
Cd Sn Hg Mo
1 1 2 1
direct
0.000 0.000 0.000 Cd
0.500 0.500 0.000 Sn
0.000 0.500 0.500 Hg
0.500 0.000 0.500 Hg
0.500 0.500 0.500 Mo



[5]
In2SiAs PBE relaxed; energy relative to the lowest polymorph listed for this composition = 0.10 eV per formula unit; uncorrected formation energy = 0.162 eV per atom; space group = Cm, No. 8
1.0
5.879 -1.794 0.000
5.879 1.794 0.000
-2.073 0.000 4.495
In Si As
2 1 1
direct
0.000 0.000 0.000 In
0.208 0.208 0.661 In
0.753 0.753 0.175 Si
0.407 0.407 0.404 As



[6]
Li2Tl2HgF6 PBE relaxed; uncorrected formation energy = -2.053 eV per atom; space group = R-3m, No. 166
1.0
3.079 1.778 5.952
-3.079 1.778 5.952
0.000 -3.556 5.952
Li Tl Hg F
2 2 1 6
direct
0.084 0.084 0.084 Li
0.916 0.916 0.916 Li
0.295 0.295 0.295 Tl
0.705 0.705 0.705 Tl
0.500 0.500 0.500 Hg
0.248 0.248 0.738 F
0.248 0.738 0.248 F
0.262 0.752 0.752 F
0.738 0.248 0.248 F
0.752 0.262 0.752 F
0.752 0.752 0.262 F



[7]
SrLiTlBi2 PBE relaxed; energy relative to the lowest polymorph listed for this composition = 1.33 eV per formula unit; energy of formation from the pure elements = -0.05 eV per atom; space group = P4/mmm, No. 123
1.0
5.982 0.000 0.000
0.000 5.982 0.000
0.000 0.000 5.033
Sr Li Tl Bi
1 1 1 2
direct
0.000 0.000 0.000 Sr
0.500 0.500 0.000 Li
0.500 0.500 0.500 Tl
0.000 0.500 0.500 Bi
0.500 0.000 0.500 Bi



[8]
LaCoIr2 PBE relaxed; energy of formation from the pure elements = 0.38 eV per atom; space group = R-3m, No. 166
1.0
1.444 0.834 9.352
-1.444 0.834 9.352
0.000 -1.667 9.352
La Co Ir
1 1 2
direct
0.000 0.000 0.000 La
0.500 0.500 0.500 Co
0.237 0.237 0.237 Ir
0.763 0.763 0.763 Ir



[9]
SmGdPb PBE relaxed; energy relative to the lowest polymorph listed for this composition = 0.00 eV per formula unit; energy of formation from the pure elements = -0.35 eV per atom; space group = I4mm, No. 107
1.0
-2.083 2.083 5.171
2.083 -2.083 5.171
2.083 2.083 -5.171
Sm Gd Pb
1 1 1
direct
0.000 0.000 0.000 Sm
0.312 0.312 0.000 Gd
0.657 0.657 0.000 Pb



[10]
SnOsIN2 PBE relaxed; energy relative to the lowest polymorph listed for this composition = 5.39 eV per formula unit; uncorrected formation energy = 2.141 eV per atom; space group = P4/mmm, No. 123
1.0
4.031 0.000 0.000
0.000 4.031 0.000
0.000 0.000 6.633
Sn Os I N
1 1 1 2
direct
0.000 0.000 0.000 Sn
0.500 0.500 0.500 Os
0.000 0.000 0.500 I
0.000 0.500 0.000 N
0.500 0.000 0.000 N



[11]
KLa2Zn PBE relaxed; energy relative to the lowest polymorph listed for this composition = 0.52 eV per formula unit; energy of formation from the pure elements = 0.14 eV per atom; space group = Immm, No. 71
1.0
-1.803 3.066 6.365
1.803 -3.066 6.365
1.803 3.066 -6.365
K La Zn
1 2 1
direct
0.000 0.000 0.000 K
0.293 0.793 0.500 La
0.707 0.207 0.500 La
0.500 0.500 0.000 Zn



[12]
Pm2Al12Au7 PBE relaxed; energy of formation from the pure elements = -0.52 eV per atom; space group = P-3, No. 147
1.0
10.516 0.000 0.000
-5.258 9.107 0.000
0.000 0.000 4.124
Pm Al Au
2 12 7
direct
0.333 0.667 0.264 Pm
0.667 0.333 0.736 Pm
0.052 0.435 0.748 Al
0.116 0.267 0.260 Al
0.151 0.884 0.260 Al
0.267 0.151 0.740 Al
0.383 0.948 0.748 Al
0.435 0.383 0.252 Al
0.565 0.617 0.748 Al
0.617 0.052 0.252 Al
0.733 0.849 0.260 Al
0.849 0.116 0.740 Al
0.884 0.733 0.740 Al
0.948 0.565 0.252 Al
0.000 0.000 0.500 Au
0.120 0.709 0.763 Au
0.291 0.411 0.763 Au
0.411 0.120 0.237 Au
0.589 0.880 0.763 Au
0.709 0.589 0.237 Au
0.880 0.291 0.237 Au



Number 1: total magnetization 0.00 μB per formula unit. Number 2: total magnetization 0.00 μB per formula unit. Number 3: total magnetization 1.09 μB per formula unit. Number 4: total magnetization 1.59 μB per formula unit. Number 5: total magnetization 0.00 μB per formula unit. Number 6: total magnetization 0.00 μB per formula unit. Number 7: total magnetization 0.00 μB per formula unit. Number 8: total magnetization 2.29 μB per formula unit. Number 9: total magnetization 8.49 μB per formula unit. Number 10: total magnetization 4.26 μB per formula unit. Number 11: total magnetization 0.00 μB per formula unit. Number 12: total magnetization 0.00 μB per formula unit.